(A)
# NbRuW2

A relaxed structure of NbRuW2 (PBE, Alexandria via LeMat-Bulk).

## Properties
Magnetic moment ... 0.00 μB per cell

Cell and atoms, written as CIF:
```
data_NbRuW2
_chemical_formula_sum 'Nb1 Ru1 W2'
_symmetry_space_group_name_H-M 'P 1'
_symmetry_Int_Tables_number 1
_symmetry_space_group_name_Hall 'P 1'
_cell_length_a 3.1690
_cell_length_b 4.5020
_cell_length_c 4.5020
_cell_angle_alpha 90.00
_cell_angle_beta 90.00
_cell_angle_gamma 90.00
loop_
_atom_site_label
_atom_site_type_symbol
_atom_site_fract_x
_atom_site_fract_y
_atom_site_fract_z
Ru1 Ru 0.5000 0.0000 0.0000
Nb1 Nb 0.5000 0.5000 0.5000
W1 W 0.0000 0.0000 0.5000
W2 W 0.0000 0.5000 0.0000
```

(B)
# NbRuW2

A relaxed structure of NbRuW2 (PBE, Alexandria via LeMat-Bulk).

## Properties
Magnetic moment ... 0.00 μB per cell

Cell and atoms, written as CIF:
```
data_NbRuW2
_chemical_formula_sum 'Nb1 Ru1 W2'
_symmetry_space_group_name_H-M 'P 1'
_symmetry_Int_Tables_number 1
_symmetry_space_group_name_Hall 'P 1'
_cell_length_a 4.4930
_cell_length_b 4.4930
_cell_length_c 4.4930
_cell_angle_alpha 60.00
_cell_angle_beta 60.00
_cell_angle_gamma 60.00
loop_
_atom_site_label
_atom_site_type_symbol
_atom_site_fract_x
_atom_site_fract_y
_atom_site_fract_z
Ru1 Ru 0.5000 0.5000 0.5000
Nb1 Nb 0.0000 0.0000 0.0000
W1 W 0.2500 0.2500 0.2500
W2 W 0.7500 0.7500 0.7500
```

From most stable to least stable, the computed energies give (A), (B).

(A)
# NbRu2W

A relaxed structure of NbRu2W (PBE, Alexandria via LeMat-Bulk).

## Properties
Magnetic moment ... 0.00 μB per cell

Cell and atoms, written as CIF:
```
data_NbRu2W
_chemical_formula_sum 'Nb1 Ru2 W1'
_symmetry_space_group_name_H-M 'P 1'
_symmetry_Int_Tables_number 1
_symmetry_space_group_name_Hall 'P 1'
_cell_length_a 3.7093
_cell_length_b 4.0952
_cell_length_c 4.0952
_cell_angle_alpha 90.00
_cell_angle_beta 90.00
_cell_angle_gamma 90.00
loop_
_atom_site_label
_atom_site_type_symbol
_atom_site_fract_x
_atom_site_fract_y
_atom_site_fract_z
Ru1 Ru 0.0000 0.0000 0.5000
Ru2 Ru 0.0000 0.5000 0.0000
Nb1 Nb 0.5000 0.0000 0.0000
W1 W 0.5000 0.5000 0.5000
```

(B)
# NbRu2W

A relaxed structure of NbRu2W (PBE, Alexandria via LeMat-Bulk).

## Properties
Magnetic moment ... 0.00 μB per cell

Cell and atoms, written as CIF:
```
data_NbRu2W
_chemical_formula_sum 'Nb1 Ru2 W1'
_symmetry_space_group_name_H-M 'P 1'
_symmetry_Int_Tables_number 1
_symmetry_space_group_name_Hall 'P 1'
_cell_length_a 2.9192
_cell_length_b 2.9192
_cell_length_c 7.3596
_cell_angle_alpha 90.00
_cell_angle_beta 90.00
_cell_angle_gamma 90.00
loop_
_atom_site_label
_atom_site_type_symbol
_atom_site_fract_x
_atom_site_fract_y
_atom_site_fract_z
Ru1 Ru 0.0000 0.0000 0.7302
Ru2 Ru 0.0000 0.0000 0.2698
Nb1 Nb 0.5000 0.5000 0.0000
W1 W 0.5000 0.5000 0.5000
```

From most stable to least stable, the computed energies give (B), (A).

(A)
# NbRu2W

A relaxed structure of NbRu2W (PBE, Alexandria via LeMat-Bulk).

## Properties
Magnetic moment ... 0.00 μB per cell

Cell and atoms, written as CIF:
```
data_NbRu2W
_chemical_formula_sum 'Nb2 Ru4 W2'
_symmetry_space_group_name_H-M 'P 1'
_symmetry_Int_Tables_number 1
_symmetry_space_group_name_Hall 'P 1'
_cell_length_a 5.7234
_cell_length_b 5.7234
_cell_length_c 6.9222
_cell_angle_alpha 65.58
_cell_angle_beta 65.58
_cell_angle_gamma 90.00
loop_
_atom_site_label
_atom_site_type_symbol
_atom_site_fract_x
_atom_site_fract_y
_atom_site_fract_z
Ru1 Ru 0.6356 0.1250 0.2500
Ru2 Ru 0.1144 0.6250 0.2500
Ru3 Ru 0.3750 0.3644 0.7500
Ru4 Ru 0.8750 0.8856 0.7500
Nb1 Nb 0.5000 0.5000 0.0000
Nb2 Nb 0.2500 0.7500 0.5000
W1 W 0.0000 0.0000 0.0000
W2 W 0.7500 0.2500 0.5000
```

(B)
# NbRu2W

A relaxed structure of NbRu2W (PBE, Alexandria via LeMat-Bulk).

## Properties
Magnetic moment ... 1.26 μB per cell

Cell and atoms, written as CIF:
```
data_NbRu2W
_chemical_formula_sum 'Nb1 Ru2 W1'
_symmetry_space_group_name_H-M 'P 1'
_symmetry_Int_Tables_number 1
_symmetry_space_group_name_Hall 'P 1'
_cell_length_a 4.4605
_cell_length_b 4.4605
_cell_length_c 4.4605
_cell_angle_alpha 60.00
_cell_angle_beta 60.00
_cell_angle_gamma 60.00
loop_
_atom_site_label
_atom_site_type_symbol
_atom_site_fract_x
_atom_site_fract_y
_atom_site_fract_z
Ru1 Ru 0.2500 0.2500 0.2500
Ru2 Ru 0.7500 0.7500 0.7500
Nb1 Nb 0.0000 0.0000 0.0000
W1 W 0.5000 0.5000 0.5000
```

From most stable to least stable, the computed energies give (B), (A).

(A)
# Nb6RuW2

A relaxed structure of Nb6RuW2 (PBE, Alexandria via LeMat-Bulk).

## Properties
Magnetic moment ... 0.00 μB per cell

Cell and atoms, written as CIF:
```
data_Nb6RuW2
_chemical_formula_sum 'Nb6 Ru1 W2'
_symmetry_space_group_name_H-M 'P 1'
_symmetry_Int_Tables_number 1
_symmetry_space_group_name_Hall 'P 1'
_cell_length_a 4.5814
_cell_length_b 4.5814
_cell_length_c 8.4804
_cell_angle_alpha 90.00
_cell_angle_beta 90.00
_cell_angle_gamma 60.00
loop_
_atom_site_label
_atom_site_type_symbol
_atom_site_fract_x
_atom_site_fract_y
_atom_site_fract_z
Nb1 Nb 0.0001 0.0001 0.8301
Nb2 Nb 0.3333 0.3333 0.2750
Nb3 Nb 0.6667 0.6667 0.7250
Nb4 Nb 0.3334 0.3334 0.6080
Nb5 Nb 0.6666 0.6666 0.3920
Nb6 Nb 0.9999 0.9999 0.1699
Ru1 Ru 0.0000 0.0000 0.5000
W1 W 0.3334 0.3334 0.9490
W2 W 0.6666 0.6666 0.0510
```

(B)
# Nb6RuW2

A relaxed structure of Nb6RuW2 (PBE, Alexandria via LeMat-Bulk).

## Properties
Magnetic moment ... 0.00 μB per cell

Cell and atoms, written as CIF:
```
data_Nb6RuW2
_chemical_formula_sum 'Nb6 Ru1 W2'
_symmetry_space_group_name_H-M 'P 1'
_symmetry_Int_Tables_number 1
_symmetry_space_group_name_Hall 'P 1'
_cell_length_a 4.3732
_cell_length_b 6.2949
_cell_length_c 7.6691
_cell_angle_alpha 114.23
_cell_angle_beta 106.64
_cell_angle_gamma 90.00
loop_
_atom_site_label
_atom_site_type_symbol
_atom_site_fract_x
_atom_site_fract_y
_atom_site_fract_z
Nb1 Nb 0.1658 0.4135 0.3313
Nb2 Nb 0.8342 0.0822 0.6687
Nb3 Nb 0.8342 0.5865 0.6687
Nb4 Nb 0.5000 0.2491 0.0000
Nb5 Nb 0.1658 0.9178 0.3313
Nb6 Nb 0.5000 0.7509 0.0000
Ru1 Ru 0.0000 0.0000 0.0000
W1 W 0.6655 0.6654 0.3308
W2 W 0.3345 0.3346 0.6692
```

From most stable to least stable, the computed energies give (A), (B).

(A)
# Nb3RuW

A relaxed structure of Nb3RuW (PBE, Alexandria via LeMat-Bulk).

## Properties
Magnetic moment ... 0.00 μB per cell

Cell and atoms, written as CIF:
```
data_Nb3RuW
_chemical_formula_sum 'Nb6 Ru2 W2'
_symmetry_space_group_name_H-M 'P 1'
_symmetry_Int_Tables_number 1
_symmetry_space_group_name_Hall 'P 1'
_cell_length_a 4.5538
_cell_length_b 4.5541
_cell_length_c 8.4596
_cell_angle_alpha 90.00
_cell_angle_beta 74.39
_cell_angle_gamma 90.00
loop_
_atom_site_label
_atom_site_type_symbol
_atom_site_fract_x
_atom_site_fract_y
_atom_site_fract_z
Nb1 Nb 0.7703 0.2500 0.1077
Nb2 Nb 0.3774 0.2500 0.8935
Nb3 Nb 0.5740 0.2500 0.5004
Nb4 Nb 0.2709 0.7500 0.1065
Nb5 Nb 0.8780 0.7500 0.8923
Nb6 Nb 0.0744 0.7500 0.4996
Ru1 Ru 0.6738 0.7500 0.3007
Ru2 Ru 0.9745 0.2500 0.6993
W1 W 0.4752 0.7500 0.6980
W2 W 0.1732 0.2500 0.3020
```

(B)
# Nb3RuW

A relaxed structure of Nb3RuW (PBE, Alexandria via LeMat-Bulk).

## Properties
Magnetic moment ... 0.00 μB per cell

Cell and atoms, written as CIF:
```
data_Nb3RuW
_chemical_formula_sum 'Nb3 Ru1 W1'
_symmetry_space_group_name_H-M 'P 1'
_symmetry_Int_Tables_number 1
_symmetry_space_group_name_Hall 'P 1'
_cell_length_a 4.7256
_cell_length_b 4.7256
_cell_length_c 4.7256
_cell_angle_alpha 90.00
_cell_angle_beta 90.00
_cell_angle_gamma 90.00
loop_
_atom_site_label
_atom_site_type_symbol
_atom_site_fract_x
_atom_site_fract_y
_atom_site_fract_z
Ru1 Ru 0.0000 0.0000 0.0000
Nb1 Nb 0.0000 0.5000 0.0000
Nb2 Nb 0.0000 0.0000 0.5000
Nb3 Nb 0.5000 0.0000 0.0000
W1 W 0.5000 0.5000 0.5000
```

(C)
# Nb3RuW

A relaxed structure of Nb3RuW (PBE, Alexandria via LeMat-Bulk).

## Properties
Magnetic moment ... 0.00 μB per cell

Cell and atoms, written as CIF:
```
data_Nb3RuW
_chemical_formula_sum 'Nb12 Ru4 W4'
_symmetry_space_group_name_H-M 'P 1'
_symmetry_Int_Tables_number 1
_symmetry_space_group_name_Hall 'P 1'
_cell_length_a 5.4846
_cell_length_b 9.0663
_cell_length_c 9.0663
_cell_angle_alpha 56.15
_cell_angle_beta 76.06
_cell_angle_gamma 76.06
loop_
_atom_site_label
_atom_site_type_symbol
_atom_site_fract_x
_atom_site_fract_y
_atom_site_fract_z
Nb1 Nb 0.4571 0.3020 0.7970
Nb2 Nb 0.0429 0.2030 0.6980
Nb3 Nb 0.5429 0.6980 0.2030
Nb4 Nb 0.9571 0.7970 0.3020
Nb5 Nb 0.9501 0.8133 0.8448
Nb6 Nb 0.5499 0.1552 0.1867
Nb7 Nb 0.0499 0.1867 0.1552
Nb8 Nb 0.4501 0.8448 0.8133
Nb9 Nb 0.6139 0.2525 0.4545
Nb10 Nb 0.8861 0.5455 0.7475
Nb11 Nb 0.3861 0.7475 0.5455
Nb12 Nb 0.1139 0.4545 0.2525
Ru1 Ru 0.2500 0.9988 0.0012
Ru2 Ru 0.7500 0.0012 0.9988
Ru3 Ru 0.2500 0.5016 0.4984
Ru4 Ru 0.7500 0.4984 0.5016
W1 W 0.7049 0.4920 0.0722
W2 W 0.7951 0.9278 0.5080
W3 W 0.2951 0.5080 0.9278
W4 W 0.2049 0.0722 0.4920
```

From most stable to least stable, the computed energies give (A), (C), (B).

(A)
# NbRu3W

A relaxed structure of NbRu3W (PBE, Alexandria via LeMat-Bulk).

## Properties
Magnetic moment ... 0.00 μB per cell

Cell and atoms, written as CIF:
```
data_NbRu3W
_chemical_formula_sum 'Nb2 Ru6 W2'
_symmetry_space_group_name_H-M 'P 1'
_symmetry_Int_Tables_number 1
_symmetry_space_group_name_Hall 'P 1'
_cell_length_a 4.9187
_cell_length_b 5.3079
_cell_length_c 6.7899
_cell_angle_alpha 113.01
_cell_angle_beta 90.00
_cell_angle_gamma 90.00
loop_
_atom_site_label
_atom_site_type_symbol
_atom_site_fract_x
_atom_site_fract_y
_atom_site_fract_z
Nb1 Nb 0.7500 0.4301 0.8602
Nb2 Nb 0.2500 0.5699 0.1398
Ru1 Ru 0.7500 0.9032 0.3091
Ru2 Ru 0.7500 0.4059 0.3091
Ru3 Ru 0.2500 0.5941 0.6909
Ru4 Ru 0.2500 0.0968 0.6909
Ru5 Ru 0.0000 0.0000 0.0000
Ru6 Ru 0.5000 0.0000 0.0000
W1 W 0.7500 0.8210 0.6419
W2 W 0.2500 0.1790 0.3581
```

(B)
# NbRu3W

A relaxed structure of NbRu3W (PBE, Alexandria via LeMat-Bulk).

## Properties
Magnetic moment ... 0.00 μB per cell

Cell and atoms, written as CIF:
```
data_NbRu3W
_chemical_formula_sum 'Nb1 Ru3 W1'
_symmetry_space_group_name_H-M 'P 1'
_symmetry_Int_Tables_number 1
_symmetry_space_group_name_Hall 'P 1'
_cell_length_a 4.6200
_cell_length_b 4.6200
_cell_length_c 4.6200
_cell_angle_alpha 90.00
_cell_angle_beta 90.00
_cell_angle_gamma 90.00
loop_
_atom_site_label
_atom_site_type_symbol
_atom_site_fract_x
_atom_site_fract_y
_atom_site_fract_z
Ru1 Ru 0.0000 0.5000 0.0000
Ru2 Ru 0.0000 0.0000 0.5000
Ru3 Ru 0.5000 0.0000 0.0000
Nb1 Nb 0.5000 0.5000 0.5000
W1 W 0.0000 0.0000 0.0000
```

From most stable to least stable, the computed energies give (A), (B).